DFT (GGA-PBE) results for crystalline Nd2AlCd3 at its relaxed geometry.

Values from the calculation:
The formation energy comes out at -0.350 eV/atom.

Lattice parameters (Å, degrees): 6.130 6.130 9.278 103.62 103.62 106.70
Positions (direct):
Nd: 0.250 0.750 0.500
Nd: 0.755 0.755 0.000
Nd: 0.750 0.250 0.500
Nd: 0.245 0.245 0.000
Al: 0.334 0.334 0.668
Al: 0.666 0.666 0.332
Cd: 0.660 0.171 0.831
Cd: 0.829 0.340 0.169
Cd: 0.340 0.829 0.169
Cd: 0.171 0.660 0.831
Cd: 0.830 0.830 0.660
Cd: 0.170 0.170 0.340

***

DFT (GGA-PBE) results for crystalline Ta3FeRe2 at its relaxed geometry.

Values from the calculation:
The formation energy comes out at -0.313 eV/atom.

Lattice parameters (Å, degrees): 3.178 3.178 9.414 90.00 90.00 90.00
Last column: magnetic moment on the atom in μB.
Positions (direct):
Ta: 0.000 0.000 0.000  0.00
Ta: 0.000 0.000 0.660  -0.10
Ta: 0.000 0.000 0.340  -0.10
Fe: 0.500 0.500 0.500  1.20
Re: 0.500 0.500 0.828  -0.01
Re: 0.500 0.500 0.172  -0.01

***

DFT (GGA-PBE) results for crystalline BaSiIr at its relaxed geometry.

Values from the calculation:
The uncorrected formation energy comes out at -0.255 eV per atom.

Lattice parameters (Å, degrees): 6.395 6.395 6.395 152.06 147.39 43.47
Positions (direct):
Ba: 0.000 0.000 0.000
Ir: 0.285 0.285 0.000
Si: 0.715 0.715 0.000

***

DFT (GGA-PBE) results for crystalline Ho3CoSn at its relaxed geometry.

Values from the calculation:
The formation energy comes out at -0.317 eV/atom.

Lattice parameters (Å, degrees): 5.087 5.087 5.087 90.00 90.00 90.00
Positions (direct):
Co: 0.000 0.000 0.000
Ho: 0.000 0.500 0.000
Ho: 0.000 0.000 0.500
Ho: 0.500 0.000 0.000
Sn: 0.500 0.500 0.500

***

DFT (GGA-PBE) results for crystalline RbLi2H6N3 at its relaxed geometry.

Values from the calculation:
As for the total energy: -4.63 eV/atom.

Lattice parameters (Å, degrees): 5.371 6.970 6.954 101.55 90.22 90.22
Positions (direct):
Rb: 0.254 0.213 0.784
Rb: 0.754 0.785 0.217
Li: 0.509 0.633 0.652
Li: 0.009 0.649 0.635
Li: 0.507 0.349 0.364
Li: 0.008 0.365 0.347
H: 0.275 0.576 0.247
H: 0.776 0.245 0.568
H: 0.777 0.422 0.752
H: 0.278 0.753 0.431
H: 0.285 0.800 0.954
H: 0.789 0.948 0.808
H: 0.779 0.199 0.044
H: 0.283 0.048 0.192
H: 0.161 0.594 0.970
H: 0.671 0.972 0.602
H: 0.660 0.406 0.029
H: 0.170 0.026 0.400
N: 0.267 0.602 0.398
N: 0.767 0.396 0.601
N: 0.254 0.661 0.873
N: 0.754 0.870 0.669
N: 0.750 0.337 0.126
N: 0.250 0.128 0.331

***

DFT (GGA-PBE) results for crystalline NaAc2Sn3 at its relaxed geometry.

Values from the calculation:
The formation energy comes out at -0.477 eV/atom.

Lattice parameters (Å, degrees): 6.698 6.698 9.691 106.86 106.86 99.24
Positions (direct):
Na: 0.666 0.666 0.332
Na: 0.334 0.334 0.668
Ac: 0.250 0.750 0.500
Ac: 0.762 0.762 0.000
Ac: 0.750 0.250 0.500
Ac: 0.238 0.238 0.000
Sn: 0.337 0.829 0.166
Sn: 0.171 0.663 0.834
Sn: 0.663 0.171 0.834
Sn: 0.829 0.337 0.166
Sn: 0.167 0.167 0.334
Sn: 0.833 0.833 0.666